(1)
Compound: Nd3Dy2Ag2
Source: Alexandria via LeMat-Bulk
Functional: PBE-GGA
Structure: relaxed Values from VASP.

SG	No. 65
E	-4.130	eV per atom
energy of formation	43	meV per atom
crystal system	orthorhombic

Geometry as Quantum ESPRESSO input:
```
&SYSTEM
  ibrav = 0, nat = 7, ntyp = 3
/
ATOMIC_SPECIES
Nd 144.24 Nd.upf
Dy 162.50 Dy.upf
Ag 107.87 Ag.upf
CELL_PARAMETERS angstrom
-0.789 4.778 -0.432
-0.355 0.255 3.463
11.150 4.388 0.820
ATOMIC_POSITIONS angstrom
Nd 2.420 5.334 -0.144
Nd 0.000 0.000 0.000
Nd 7.587 4.087 3.995
Dy 5.772 6.072 1.904
Dy 4.234 3.349 1.947
Ag 8.944 6.622 2.189
Ag 1.062 2.799 1.662
```

(2)
Compound: ZrSc2AsF
Source: Alexandria via LeMat-Bulk
Functional: PBE-GGA
Structure: relaxed Values from VASP.

formation energy without anion corrections	-924.3	meV/atom
SG	No. 123
E	-6.471	eV per atom
crystal system	tetragonal

Geometry as Quantum ESPRESSO input:
```
&SYSTEM
  ibrav = 0, nat = 5, ntyp = 4
/
ATOMIC_SPECIES
Sc 44.96 Sc.upf
As 74.92 As.upf
Zr 91.22 Zr.upf
F 19.00 F.upf
CELL_PARAMETERS angstrom
4.336 0.000 0.000
0.000 4.621 0.000
0.000 0.000 4.336
ATOMIC_POSITIONS angstrom
Sc 0.000 0.000 2.168
Sc 2.168 0.000 0.000
As 2.168 2.311 2.168
Zr 0.000 2.311 0.000
F 0.000 0.000 0.000
```

(3)
Compound: Er2Cu2Pd
Source: Alexandria via LeMat-Bulk
Functional: PBE-GGA
Structure: relaxed Values from VASP.

SG	No. 12
E	-4.991	eV per atom
energy of formation	-488	meV per atom
crystal system	monoclinic

Geometry as Quantum ESPRESSO input:
```
&SYSTEM
  ibrav = 0, nat = 10, ntyp = 3
/
ATOMIC_SPECIES
Er 167.26 Er.upf
Cu 63.55 Cu.upf
Pd 106.42 Pd.upf
CELL_PARAMETERS angstrom
3.950 0.000 0.000
1.975 5.081 0.039
1.975 0.822 9.866
ATOMIC_POSITIONS angstrom
Er 1.975 1.439 1.143
Er 3.950 2.177 6.548
Er 5.925 4.463 8.761
Er 3.950 3.725 3.356
Cu 5.925 1.573 8.825
Cu 1.975 1.786 4.456
Cu 1.975 4.330 1.079
Cu 5.925 4.117 5.449
Pd 3.950 0.757 3.187
Pd 3.950 5.146 6.717
```

(4)
Compound: In5GaHg
Source: Alexandria via LeMat-Bulk
Functional: PBE-GGA
Structure: relaxed Values from VASP.

SG	No. 123
E	-2.397	eV per atom
energy of formation	35	meV per atom
crystal system	tetragonal

Geometry as Quantum ESPRESSO input:
```
&SYSTEM
  ibrav = 0, nat = 7, ntyp = 3
/
ATOMIC_SPECIES
In 114.82 In.upf
Ga 69.72 Ga.upf
Hg 200.59 Hg.upf
CELL_PARAMETERS angstrom
-0.361 -4.042 -2.352
3.681 -1.701 2.357
-5.210 -3.008 5.968
ATOMIC_POSITIONS angstrom
In 1.660 -2.871 0.002
In -1.673 -2.882 0.533
In 0.348 -1.712 2.888
In -3.898 -4.167 3.082
In -1.877 -2.996 5.437
Ga -2.605 -1.504 2.984
Hg 0.000 0.000 0.000
```

(5)
Compound: Y2WBr
Source: Alexandria via LeMat-Bulk
Functional: PBE-GGA
Structure: relaxed Values from VASP.

formation energy without anion corrections	460.4	meV/atom
SG	No. 71
E	-6.428	eV per atom
crystal system	orthorhombic

Geometry as Quantum ESPRESSO input:
```
&SYSTEM
  ibrav = 0, nat = 4, ntyp = 3
/
ATOMIC_SPECIES
Y 88.91 Y.upf
Br 79.90 Br.upf
W 183.84 W.upf
CELL_PARAMETERS angstrom
-0.789 1.293 5.578
-2.157 -4.788 2.415
4.681 2.106 -2.657
ATOMIC_POSITIONS angstrom
Y -2.944 -3.494 7.990
Y -1.474 -1.749 3.999
Br 1.210 0.826 3.459
W 0.526 -2.215 1.877
```

(6)
Compound: PuSe2N2
Source: Alexandria via LeMat-Bulk
Functional: PBE-GGA
Structure: relaxed Values from VASP.

formation energy without anion corrections	-604.7	meV/atom
SG	No. 12
E	-8.195	eV per atom
crystal system	monoclinic

Geometry as Quantum ESPRESSO input:
```
&SYSTEM
  ibrav = 0, nat = 5, ntyp = 3
/
ATOMIC_SPECIES
Pu 244.00 Pu.upf
Se 78.96 Se.upf
N 14.01 N.upf
CELL_PARAMETERS angstrom
3.430 -0.959 0.526
0.884 3.450 0.526
1.921 1.109 11.558
ATOMIC_POSITIONS angstrom
Pu 0.000 0.000 0.000
Se 1.880 1.086 2.039
Se 4.354 2.514 10.570
N 2.859 1.651 6.775
N 3.375 1.949 5.834
```

(7)
Compound: DyTmCuGe
Source: Alexandria via LeMat-Bulk
Functional: PBE-GGA
Structure: relaxed Values from VASP.

SG	No. 216
E	-4.943	eV per atom
energy of formation	-496	meV per atom
crystal system	cubic

Geometry as Quantum ESPRESSO input:
```
&SYSTEM
  ibrav = 0, nat = 4, ntyp = 4
/
ATOMIC_SPECIES
Ge 72.64 Ge.upf
Tm 168.93 Tm.upf
Cu 63.55 Cu.upf
Dy 162.50 Dy.upf
CELL_PARAMETERS angstrom
4.934 0.000 0.000
2.467 4.273 0.000
2.467 1.424 4.029
ATOMIC_POSITIONS angstrom
Ge 2.467 1.424 1.007
Tm 0.000 0.000 0.000
Cu 7.402 4.273 3.022
Dy 4.934 2.849 2.015
```

(8)
Compound: InBTeH2
Source: Alexandria via LeMat-Bulk
Functional: PBE-GGA
Structure: relaxed Values from VASP.

SG	No. 123
E	-2.934	eV per atom
crystal system	tetragonal

Geometry as Quantum ESPRESSO input:
```
&SYSTEM
  ibrav = 0, nat = 5, ntyp = 4
/
ATOMIC_SPECIES
H 1.01 H.upf
B 10.81 B.upf
Te 127.60 Te.upf
In 114.82 In.upf
CELL_PARAMETERS angstrom
-3.706 -0.195 -0.730
1.297 -1.441 -6.194
0.024 -3.683 0.862
ATOMIC_POSITIONS angstrom
H 0.012 -1.842 0.431
H -1.853 -0.098 -0.365
B -1.193 -2.660 -3.031
Te 0.000 0.000 0.000
In 0.648 -0.721 -3.097
```

(9)
Compound: La2HfZnN
Source: Alexandria via LeMat-Bulk
Functional: PBE-GGA
Structure: relaxed Values from VASP.

formation energy without anion corrections	-636.5	meV/atom
SG	No. 123
E	-6.518	eV per atom
crystal system	tetragonal

Geometry as Quantum ESPRESSO input:
```
&SYSTEM
  ibrav = 0, nat = 5, ntyp = 4
/
ATOMIC_SPECIES
Zn 65.41 Zn.upf
N 14.01 N.upf
Hf 178.49 Hf.upf
La 138.91 La.upf
CELL_PARAMETERS angstrom
-0.967 -3.941 3.345
4.101 -2.657 -1.944
2.547 1.822 2.882
ATOMIC_POSITIONS angstrom
Zn 2.840 -2.388 2.142
N 0.000 0.000 0.000
Hf 1.273 0.911 1.441
La 2.050 -1.328 -0.972
La -0.484 -1.970 1.673
```

(10)
Compound: SbMoP
Source: Alexandria via LeMat-Bulk
Functional: PBE-GGA
Structure: relaxed Values from VASP.

formation energy without anion corrections	173.7	meV/atom
SG	No. 187
E	-6.614	eV per atom
crystal system	hexagonal

Geometry as Quantum ESPRESSO input:
```
&SYSTEM
  ibrav = 0, nat = 3, ntyp = 3
/
ATOMIC_SPECIES
Sb 121.76 Sb.upf
Mo 95.94 Mo.upf
P 30.97 P.upf
CELL_PARAMETERS angstrom
2.136 -3.699 0.000
2.136 3.699 0.000
0.000 0.000 3.468
ATOMIC_POSITIONS angstrom
Sb 2.136 1.233 1.734
Mo 0.000 0.000 0.000
P 2.136 -1.233 0.000
```

(11)
Compound: LaCd2Ga
Source: Alexandria via LeMat-Bulk
Functional: PBE-GGA
Structure: relaxed Values from VASP.

SG	No. 166
E	-2.281	eV per atom
energy of formation	165	meV per atom
crystal system	trigonal

Geometry as Quantum ESPRESSO input:
```
&SYSTEM
  ibrav = 0, nat = 4, ntyp = 3
/
ATOMIC_SPECIES
Cd 112.41 Cd.upf
Ga 69.72 Ga.upf
La 138.91 La.upf
CELL_PARAMETERS angstrom
3.276 0.000 0.000
1.638 2.837 0.000
1.638 0.946 11.332
ATOMIC_POSITIONS angstrom
Cd 1.638 0.946 8.040
Cd 4.914 2.837 3.291
Ga 3.276 1.891 5.666
La 0.000 0.000 0.000
```

(12)
Compound: ScFe3Cu
Source: Alexandria via LeMat-Bulk
Functional: PBE-GGA
Structure: relaxed Values from VASP.

SG	No. 221
E	-5.627	eV per atom
energy of formation	1536	meV per atom
crystal system	cubic

Geometry as Quantum ESPRESSO input:
```
&SYSTEM
  ibrav = 0, nat = 5, ntyp = 3
/
ATOMIC_SPECIES
Sc 44.96 Sc.upf
Fe 55.84 Fe.upf
Cu 63.55 Cu.upf
CELL_PARAMETERS angstrom
4.393 0.000 0.000
0.000 4.393 0.000
0.000 0.000 4.393
ATOMIC_POSITIONS angstrom
Sc 0.000 0.000 0.000
Fe 0.000 2.196 0.000
Fe 0.000 0.000 2.196
Fe 2.196 0.000 0.000
Cu 2.196 2.196 2.196
```

(13)
Compound: Rb3PuCr2Se6
Source: Alexandria via LeMat-Bulk
Functional: PBE-GGA
Structure: relaxed Values from VASP.

formation energy without anion corrections	-975.5	meV/atom
SG	No. 12
E	-5.758	eV per atom
crystal system	monoclinic

Geometry as Quantum ESPRESSO input:
```
&SYSTEM
  ibrav = 0, nat = 12, ntyp = 4
/
ATOMIC_SPECIES
Rb 85.47 Rb.upf
Pu 244.00 Pu.upf
Cr 52.00 Cr.upf
Se 78.96 Se.upf
CELL_PARAMETERS angstrom
6.922 0.002 -0.002
-3.457 5.997 -0.002
-1.160 -2.009 7.921
ATOMIC_POSITIONS angstrom
Rb -2.372 4.031 3.959
Rb 4.677 -0.040 3.959
Rb 1.152 1.995 3.959
Pu 0.000 0.000 0.000
Cr 0.000 4.001 -0.002
Cr 3.466 1.999 -0.002
Se 3.552 1.830 6.483
Se 2.216 3.837 1.416
Se -1.247 2.161 1.435
Se -0.190 3.991 6.483
Se 0.089 0.154 6.502
Se 2.495 0.000 1.435
```

(14)
Compound: Pr2HoAs3Pt4
Source: Alexandria via LeMat-Bulk
Functional: PBE-GGA
Structure: relaxed Values from VASP.

SG	No. 115
E	-6.193	eV per atom
energy of formation	-968	meV per atom
crystal system	tetragonal

Geometry as Quantum ESPRESSO input:
```
&SYSTEM
  ibrav = 0, nat = 10, ntyp = 4
/
ATOMIC_SPECIES
Pr 140.91 Pr.upf
Ho 164.93 Ho.upf
As 74.92 As.upf
Pt 195.08 Pt.upf
CELL_PARAMETERS angstrom
-1.603 -0.279 -3.998
2.786 -3.173 -0.896
-7.550 -7.635 3.561
ATOMIC_POSITIONS angstrom
Pr -2.429 -1.786 -1.231
Pr -4.530 -7.575 2.346
Ho -3.184 -5.543 -0.666
As -3.775 -3.817 1.781
As -7.386 -6.797 1.107
As 0.427 -2.563 0.008
Pt 0.591 -1.726 -2.447
Pt 0.000 0.000 0.000
Pt -5.739 -5.132 0.330
Pt -1.220 -4.229 0.785
```

(15)
Compound: NbNi2Ge
Source: Alexandria via LeMat-Bulk
Functional: PBE-GGA
Structure: relaxed Values from VASP.

SG	No. 8
E	-6.841	eV per atom
energy of formation	-278	meV per atom
crystal system	monoclinic

Geometry as Quantum ESPRESSO input:
```
&SYSTEM
  ibrav = 0, nat = 16, ntyp = 3
/
ATOMIC_SPECIES
Nb 92.91 Nb.upf
Ni 58.69 Ni.upf
Ge 72.64 Ge.upf
CELL_PARAMETERS angstrom
-0.912 6.268 -4.444
-4.157 -0.304 0.424
0.723 0.805 7.667
ATOMIC_POSITIONS angstrom
Nb -0.186 3.621 0.773
Nb -1.903 3.872 4.819
Nb -0.420 6.543 0.578
Nb -2.860 5.988 -3.044
Ni 0.146 2.961 3.553
Ni -2.294 2.407 -0.069
Ni 0.169 0.950 2.334
Ni -1.549 1.200 6.379
Ni -0.535 4.735 -1.849
Ni -2.252 4.986 2.196
Ni -0.055 0.702 -0.031
Ni -1.772 0.953 4.014
Ge 0.390 2.973 5.953
Ge -2.051 2.419 2.331
Ge -0.065 5.398 3.230
Ge -2.506 4.844 -0.391
```

(16)
Compound: LiMg2Os
Source: Alexandria via LeMat-Bulk
Functional: PBE-GGA
Structure: relaxed Values from VASP.

SG	No. 65
E	-3.955	eV per atom
energy of formation	128	meV per atom
crystal system	orthorhombic

Geometry as Quantum ESPRESSO input:
```
&SYSTEM
  ibrav = 0, nat = 4, ntyp = 3
/
ATOMIC_SPECIES
Li 6.94 Li.upf
Mg 24.30 Mg.upf
Os 190.23 Os.upf
CELL_PARAMETERS angstrom
-2.369 -3.930 1.622
3.873 0.379 2.923
-1.492 1.628 1.765
ATOMIC_POSITIONS angstrom
Li 1.191 1.004 2.344
Mg 0.000 0.000 0.000
Mg 0.752 -1.775 2.273
Os -1.930 -1.151 1.694
```

(17)
Compound: TiPdO2
Source: Alexandria via LeMat-Bulk
Functional: PBE-GGA
Structure: relaxed Values from VASP.

formation energy without anion corrections	-1735.3	meV/atom
SG	No. 122
E	-7.486	eV per atom
crystal system	tetragonal

Geometry as Quantum ESPRESSO input:
```
&SYSTEM
  ibrav = 0, nat = 8, ntyp = 3
/
ATOMIC_SPECIES
O 16.00 O.upf
Pd 106.42 Pd.upf
Ti 47.87 Ti.upf
CELL_PARAMETERS angstrom
-0.215 -4.338 -2.308
-2.226 -1.974 3.917
-5.341 -2.012 -0.961
ATOMIC_POSITIONS angstrom
O -1.729 -3.071 -0.986
O -2.773 -2.669 1.712
O -5.121 -4.054 0.235
O -5.942 -6.855 0.335
Pd 0.000 0.000 0.000
Pd -3.388 -4.753 -1.232
Ti -1.220 -3.156 0.805
Ti -4.394 -3.571 1.880
```

(18)
Compound: ZrV2NiAu
Source: Alexandria via LeMat-Bulk
Functional: PBE-GGA
Structure: relaxed Values from VASP.

SG	No. 123
E	-5.759	eV per atom
energy of formation	1409	meV per atom
crystal system	tetragonal

Geometry as Quantum ESPRESSO input:
```
&SYSTEM
  ibrav = 0, nat = 5, ntyp = 4
/
ATOMIC_SPECIES
Ni 58.69 Ni.upf
Au 196.97 Au.upf
Zr 91.22 Zr.upf
V 50.94 V.upf
CELL_PARAMETERS angstrom
4.812 0.000 0.000
0.000 5.155 0.000
0.000 0.000 4.812
ATOMIC_POSITIONS angstrom
Ni 2.406 2.578 2.406
Au 0.000 0.000 0.000
Zr 0.000 2.578 0.000
V 0.000 0.000 2.406
V 2.406 0.000 0.000
```

(19)
Compound: MnCo2TcN
Source: Alexandria via LeMat-Bulk
Functional: PBE-GGA
Structure: relaxed Values from VASP.

formation energy without anion corrections	15.6	meV/atom
SG	No. 123
E	-8.399	eV per atom
crystal system	tetragonal

Geometry as Quantum ESPRESSO input:
```
&SYSTEM
  ibrav = 0, nat = 5, ntyp = 4
/
ATOMIC_SPECIES
Mn 54.94 Mn.upf
Co 58.93 Co.upf
Tc 98.00 Tc.upf
N 14.01 N.upf
CELL_PARAMETERS angstrom
3.781 0.000 0.000
0.000 3.781 0.000
0.000 0.000 3.991
ATOMIC_POSITIONS angstrom
Mn 1.891 1.891 1.995
Co 0.000 1.891 0.000
Co 1.891 0.000 0.000
Tc 0.000 0.000 1.995
N 0.000 0.000 0.000
```

(20)
Compound: SmAgAsH
Source: Alexandria via LeMat-Bulk
Functional: PBE-GGA
Structure: relaxed Values from VASP.

SG	No. 129
E	-4.587	eV per atom
crystal system	tetragonal

Geometry as Quantum ESPRESSO input:
```
&SYSTEM
  ibrav = 0, nat = 8, ntyp = 4
/
ATOMIC_SPECIES
Sm 150.36 Sm.upf
Ag 107.87 Ag.upf
As 74.92 As.upf
H 1.01 H.upf
CELL_PARAMETERS angstrom
-2.397 -2.520 -2.128
3.119 -0.877 -2.475
2.168 -6.232 4.939
ATOMIC_POSITIONS angstrom
Sm 3.392 -5.706 2.938
Sm -0.863 -2.224 -0.300
Ag 1.084 -3.116 2.470
Ag 1.445 -4.815 0.168
As 0.381 -5.801 2.535
As 2.148 -2.129 0.102
H 0.361 -1.699 -2.302
H 0.000 0.000 0.000
```